# 1
First-principles (GGA-PBE) data for crystalline K2LiRe2N4 at its relaxed geometry, as listed in Alexandria.

Cell: 7.304 7.304 6.471 Å, 110.17 110.17 26.62°
Atoms (fractional coordinates):
1 K 0.120 0.120 0.481
2 K 0.880 0.880 0.519
3 Li 0.000 0.000 0.000
4 Re 0.326 0.326 0.008
5 Re 0.674 0.674 0.992
6 N 0.222 0.222 0.175
7 N 0.454 0.454 0.186
8 N 0.546 0.546 0.814
9 N 0.778 0.778 0.825

mass density: 5.90 g/cm³
uncorrected formation energy: -0.153 eV/atom
V: 144.6 Å³ per cell

# 2
First-principles (GGA-PBE) data for crystalline Mn5V6Mo at its relaxed geometry, as listed in Alexandria.

Cell: 7.134 7.134 7.134 Å, 146.49 131.76 60.01°
Atoms (fractional coordinates):
1 Mn 0.000 0.000 0.000
2 Mn 0.167 0.667 0.500
3 Mn 0.330 0.330 0.000
4 Mn 0.670 0.670 0.000
5 Mn 0.833 0.333 0.500
6 V 0.077 0.831 0.247
7 V 0.243 0.500 0.743
8 V 0.416 0.169 0.247
9 V 0.584 0.831 0.753
10 V 0.757 0.500 0.257
11 V 0.923 0.169 0.753
12 Mo 0.500 0.000 0.500

mass density: 7.58 g/cm³
ΔH_f (0 K): -0.224 eV per atom
V: 148.2 Å³ per cell

# 3
First-principles (GGA-PBE) data for crystalline RbAg2IrAu at its relaxed geometry, as listed in Alexandria.

Cell: 5.410 5.410 4.938 Å, 90.00 90.00 90.00°
Atoms (fractional coordinates):
1 Rb 0.000 0.000 0.000
2 Ag 0.000 0.500 0.000
3 Ag 0.500 0.000 0.000
4 Ir 0.000 0.000 0.500
5 Au 0.500 0.500 0.500

mass density: 7.93 g/cm³
ΔH_f (0 K): 2.050 eV per atom
V: 144.6 Å³ per cell

# 4
First-principles (GGA-PBE) data for crystalline La2Pm4PrDy at its relaxed geometry, as listed in Alexandria.

Cell: 9.667 9.667 6.955 Å, 110.75 110.75 88.51°
Atoms (fractional coordinates):
1 La 0.000 0.000 0.000
2 La 0.000 0.000 0.500
3 La 0.000 0.500 0.000
4 La 0.500 0.000 0.500
5 Pm 0.253 0.254 0.043
6 Pm 0.253 0.743 0.998
7 Pm 0.254 0.253 0.543
8 Pm 0.257 0.747 0.502
9 Pm 0.743 0.253 0.498
10 Pm 0.746 0.747 0.457
11 Pm 0.747 0.257 0.002
12 Pm 0.747 0.746 0.957
13 Pr 0.000 0.500 0.500
14 Pr 0.500 0.000 0.000
15 Dy 0.500 0.500 0.000
16 Dy 0.500 0.500 0.500

mass density: 6.83 g/cm³
ΔH_f (0 K): 0.359 eV per atom
V: 564.6 Å³ per cell

# 5
First-principles (GGA-PBE) data for crystalline LiIn6Pb2 at its relaxed geometry, as listed in Alexandria.

Cell: 7.513 7.513 5.671 Å, 100.41 100.41 51.90°
Atoms (fractional coordinates):
1 Li 0.000 0.000 0.000
2 In 0.129 0.660 0.325
3 In 0.202 0.202 0.254
4 In 0.340 0.871 0.675
5 In 0.660 0.129 0.325
6 In 0.798 0.798 0.746
7 In 0.871 0.340 0.675
8 Pb 0.377 0.377 0.819
9 Pb 0.623 0.623 0.181

mass density: 7.47 g/cm³
ΔH_f (0 K): 0.002 eV per atom
V: 246.8 Å³ per cell
excess energy over the best structure of this formula in the dataset: 0.0384 eV/atom

# 6
First-principles (GGA-PBE) data for crystalline CaSc4 at its relaxed geometry, as listed in Alexandria.

Cell: 5.831 5.831 5.831 Å, 99.60 99.60 131.80°
Atoms (fractional coordinates):
1 Ca 0.000 0.000 0.000
2 Sc 0.188 0.593 0.782
3 Sc 0.407 0.188 0.595
4 Sc 0.593 0.812 0.405
5 Sc 0.812 0.407 0.218

mass density: 2.71 g/cm³
ΔH_f (0 K): 0.177 eV per atom
V: 134.9 Å³ per cell
excess energy over the best structure of this formula in the dataset: 0.0000 eV/atom

# 7
First-principles (GGA-PBE) data for crystalline Cu2IBr6 at its relaxed geometry, as listed in Alexandria.

Cell: 8.972 8.972 7.576 Å, 96.47 96.47 82.44°
Atoms (fractional coordinates):
1 Cu 0.139 0.239 0.181
2 Cu 0.239 0.139 0.681
3 Cu 0.761 0.861 0.319
4 Cu 0.861 0.761 0.819
5 I 0.400 0.600 0.750
6 I 0.600 0.400 0.250
7 Br 0.046 0.194 0.872
8 Br 0.098 0.611 0.687
9 Br 0.194 0.046 0.372
10 Br 0.278 0.450 0.197
11 Br 0.389 0.902 0.813
12 Br 0.450 0.278 0.697
13 Br 0.550 0.722 0.303
14 Br 0.611 0.098 0.187
15 Br 0.722 0.550 0.803
16 Br 0.806 0.954 0.628
17 Br 0.902 0.389 0.313
18 Br 0.954 0.806 0.128

mass density: 4.08 g/cm³
uncorrected formation energy: -0.155 eV/atom
V: 597.7 Å³ per cell

# 8
First-principles (GGA-PBE) data for crystalline LuMgBiAu at its relaxed geometry, as listed in Alexandria.

Cell: 5.120 5.120 5.120 Å, 60.00 60.00 60.00°
Atoms (fractional coordinates):
1 Lu 0.000 0.000 0.000
2 Mg 0.500 0.500 0.500
3 Bi 0.250 0.250 0.250
4 Au 0.750 0.750 0.750

mass density: 10.59 g/cm³
ΔH_f (0 K): -0.437 eV per atom
V: 94.9 Å³ per cell

# 9
First-principles (GGA-PBE) data for crystalline Hf12TlHg3 at its relaxed geometry, as listed in Alexandria.

Cell: 4.410 4.410 17.636 Å, 90.00 90.00 90.00°
Atoms (fractional coordinates):
1 Hf 0.000 0.000 0.000
2 Hf 0.000 0.000 0.249
3 Hf 0.000 0.000 0.500
4 Hf 0.000 0.000 0.751
5 Hf 0.000 0.500 0.125
6 Hf 0.000 0.500 0.373
7 Hf 0.000 0.500 0.627
8 Hf 0.000 0.500 0.875
9 Hf 0.500 0.000 0.125
10 Hf 0.500 0.000 0.373
11 Hf 0.500 0.000 0.627
12 Hf 0.500 0.000 0.875
13 Tl 0.500 0.500 0.500
14 Hg 0.500 0.500 0.000
15 Hg 0.500 0.500 0.249
16 Hg 0.500 0.500 0.751

mass density: 14.27 g/cm³
ΔH_f (0 K): -0.027 eV per atom
V: 342.9 Å³ per cell

# 10
First-principles (GGA-PBE) data for crystalline CaMgPb2 at its relaxed geometry, as listed in Alexandria.

Cell: 3.749 4.704 6.675 Å, 90.00 90.00 90.00°
Atoms (fractional coordinates):
1 Ca 0.000 0.000 0.000
2 Mg 0.500 0.500 0.285
3 Pb 0.000 0.000 0.493
4 Pb 0.500 0.500 0.769

mass density: 6.75 g/cm³
ΔH_f (0 K): -0.176 eV per atom
V: 117.7 Å³ per cell

# 11
First-principles (GGA-PBE) data for crystalline WAuS3 at its relaxed geometry, as listed in Alexandria.

Cell: 4.693 4.693 4.693 Å, 90.00 90.00 90.00°
Atoms (fractional coordinates):
1 W 0.000 0.000 0.000
2 Au 0.500 0.500 0.500
3 S 0.000 0.000 0.500
4 S 0.000 0.500 0.000
5 S 0.500 0.000 0.000

mass density: 7.66 g/cm³
uncorrected formation energy: 0.351 eV/atom
V: 103.4 Å³ per cell
excess energy over the best structure of this formula in the dataset: 0.0000 eV/atom

# 12
First-principles (GGA-PBE) data for crystalline DyGaPd at its relaxed geometry, as listed in Alexandria.

Cell: 11.402 11.402 11.402 Å, 157.37 45.54 141.03°
Atoms (fractional coordinates):
1 Dy 0.000 0.000 0.000
2 Dy 0.249 0.086 0.164
3 Dy 0.315 0.985 0.329
4 Dy 0.580 0.080 0.500
5 Dy 0.656 0.985 0.671
6 Dy 0.922 0.086 0.836
7 Ga 0.092 0.365 0.727
8 Ga 0.140 0.704 0.436
9 Ga 0.268 0.704 0.564
10 Ga 0.603 0.707 0.897
11 Ga 0.638 0.365 0.273
12 Ga 0.810 0.707 0.103
13 Pd 0.304 0.378 0.926
14 Pd 0.452 0.378 0.074
15 Pd 0.457 0.694 0.764
16 Pd 0.773 0.371 0.401
17 Pd 0.930 0.694 0.236
18 Pd 0.970 0.371 0.599

mass density: 9.43 g/cm³
ΔH_f (0 K): -0.887 eV per atom
V: 357.8 Å³ per cell